[1]
CrP2PbS8, relaxed, DFT GGA-PBE; space group = C2/m; formation energy from raw total energies = -23.7 kJ per mole of atoms
1.0
4.8903 -3.2052 0.0000
4.8903 3.2052 0.0000
-0.9518 0.0000 8.4808
Cr P Pb S
1 2 1 8
Cartesian
0.0000 0.0000 0.0000 Cr
3.4289 0.0000 1.7698 P
5.4000 0.0000 6.7110 P
-0.4759 0.0000 4.2404 Pb
4.0085 1.5865 6.7374 S
1.4027 0.0000 8.4756 S
4.8204 1.5865 1.7435 S
2.5621 0.0000 3.5729 S
6.2668 0.0000 4.9079 S
4.0085 -1.5865 6.7374 S
7.4261 0.0000 0.0052 S
4.8204 -1.5865 1.7435 S

[2]
CrSnP2Pb, relaxed, DFT GGA-PBE; ΔH_f (0 K) = 1744 meV per atom; space group = P4/mmm
1.0
4.9640 0.0000 0.0000
0.0000 4.9640 0.0000
0.0000 0.0000 5.7758
Cr Sn P Pb
1 1 2 1
Cartesian
0.0000 0.0000 0.0000 Cr
2.4820 2.4820 2.8879 Sn
0.0000 2.4820 2.8879 P
2.4820 0.0000 2.8879 P
2.4820 2.4820 0.0000 Pb

[3]
YCr2PPb, relaxed, DFT GGA-PBE; ΔH_f (0 K) = 1812 meV per atom; space group = P4/mmm
1.0
5.0375 0.0000 0.0000
0.0000 5.0375 0.0000
0.0000 0.0000 5.7945
Y Cr P Pb
1 2 1 1
Cartesian
0.0000 0.0000 0.0000 Y
0.0000 2.5187 0.0000 Cr
2.5187 0.0000 0.0000 Cr
2.5187 2.5187 2.8973 P
0.0000 0.0000 2.8973 Pb

[4]
CrPPd3, relaxed, DFT GGA-PBE; ΔH_f (0 K) = 45 meV per atom; space group = Pm-3m; ΔE to the lowest computed polymorph = 0.000 eV/atom
1.0
4.4788 0.0000 0.0000
0.0000 4.4788 0.0000
0.0000 0.0000 4.4788
Cr P Pd
1 1 3
Cartesian
0.0000 0.0000 0.0000 Cr
2.2394 2.2394 2.2394 P
0.0000 2.2394 2.2394 Pd
2.2394 0.0000 2.2394 Pd
2.2394 2.2394 0.0000 Pd

[5]
CrP3Pd, relaxed, DFT GGA-PBE; ΔH_f (0 K) = 444 meV per atom; space group = Pm-3m; ΔE to the lowest computed polymorph = 0.000 eV/atom
1.0
4.3934 0.0000 0.0000
0.0000 4.3934 0.0000
0.0000 0.0000 4.3934
Cr P Pd
1 3 1
Cartesian
0.0000 0.0000 0.0000 Cr
0.0000 0.0000 2.1967 P
0.0000 2.1967 0.0000 P
2.1967 0.0000 0.0000 P
2.1967 2.1967 2.1967 Pd

[6]
CrP2Pd, relaxed, DFT GGA-PBE; ΔH_f (0 K) = -25 meV per atom; space group = I-42d; ΔE to the lowest computed polymorph = 0.000 eV/atom
1.0
-2.6645 2.6645 5.2239
2.6645 -2.6645 5.2239
2.6645 2.6645 -5.2239
Cr P Pd
2 4 2
Cartesian
0.0000 0.0000 0.0000 Cr
0.0000 2.6645 2.6119 Cr
3.9967 1.2338 -1.3060 P
1.2338 1.3322 1.3060 P
-1.3322 1.4306 3.9179 P
1.4306 1.3322 6.5298 P
2.6645 0.0000 2.6119 Pd
0.0000 0.0000 5.2239 Pd